# 1
A plane-wave DFT calculation with GGA-PBE was carried out for crystalline Dy4Se3N at its relaxed geometry.

Cell lengths 6.868, 6.868, 6.868 Å; angles 131.90, 131.90, 70.38 degrees
Atoms (fractional coordinates):
Se1 0.000 0.000 0.000
N1 0.500 0.500 0.000
Se2 0.250 0.750 0.500
Dy1 0.000 0.500 0.500
Dy2 0.705 0.705 0.000
Se3 0.750 0.250 0.500
Dy3 0.295 0.295 0.000
Dy4 0.500 0.000 0.500

Computed properties:
The space group is No. 139. The calculation puts the spin magnetization at 0.0 μB/f.u. The calculation puts the calculated volume at 21.98 A^3/atom.

---

# 2
A plane-wave DFT calculation with GGA-PBE was carried out for crystalline DySi2N2 at its relaxed geometry.

Cell lengths 9.803, 9.803, 9.803 Å; angles 159.44, 156.09, 31.74 degrees
Atoms (fractional coordinates):
Dy1 0.119 0.369 0.750
Si1 0.536 0.786 0.750
Dy2 0.881 0.631 0.250
N1 0.201 0.951 0.250
Si2 0.464 0.214 0.250
Si3 0.295 0.045 0.250
N2 0.325 0.575 0.750
N3 0.675 0.425 0.250
Si4 0.705 0.955 0.750
N4 0.799 0.049 0.750

Computed properties:
The space group is No. 74. The calculation puts the spin magnetization at 0.0 μB/f.u. The calculation puts the calculated volume at 13.40 A^3/atom.

---

Number 1: total DFT energy (no corrections) -50.027 eV per cell. Number 2: total DFT energy (no corrections) -71.013 eV per cell.